VASP calculation (GGA-PBE) on a relaxed PaTlH crystal.

Properties
The crystal system is tetragonal. The polymorph energy (0 for the lowest one) comes out at 182.5 meV per atom. Its density of states at the Fermi level is 4.81 states/eV per cell.

The structure in CIF format:
```
data_PaTlH
_space_group_name_H-M_alt 'P 1'
_space_group_IT_number 1
_space_group_name_Hall 'P 1'
_cell_length_a 3.196
_cell_length_b 3.196
_cell_length_c 6.231
_cell_angle_alpha 104.86
_cell_angle_beta 104.86
_cell_angle_gamma 90.00
loop_
_atom_site_label
_atom_site_type_symbol
_atom_site_fract_x
_atom_site_fract_y
_atom_site_fract_z
_atom_site_occupancy
H1 H 0.277 0.277 0.554 1
Tl1 Tl 0.000 0.000 0.000 1
Pa1 Pa 0.723 0.723 0.446 1
```

---

VASP calculation (GGA-PBE) on a relaxed TmPaH2 crystal.

Properties
The crystal system is trigonal. The calculation puts the total energy at -5.40 eV per atom. Its density of states at the Fermi level is 4.91 states/eV per cell.

The structure in CIF format:
```
data_TmPaH2
_space_group_name_H-M_alt 'P 1'
_space_group_IT_number 1
_space_group_name_Hall 'P 1'
_cell_length_a 3.391
_cell_length_b 3.391
_cell_length_c 6.097
_cell_angle_alpha 73.85
_cell_angle_beta 73.85
_cell_angle_gamma 60.00
loop_
_atom_site_label
_atom_site_type_symbol
_atom_site_fract_x
_atom_site_fract_y
_atom_site_fract_z
_atom_site_occupancy
H1 H 0.750 0.750 0.750 1
H2 H 0.250 0.250 0.250 1
Pa1 Pa 0.500 0.500 0.500 1
Tm1 Tm 0.000 0.000 0.000 1
```

---

VASP calculation (GGA-PBE) on a relaxed Tm5Pa3H12 crystal.

Properties
The crystal system is cubic. The calculation puts the total energy at -4.92 eV per atom. Its density of states at the Fermi level is 58.61 states/eV per cell.

The structure in CIF format:
```
data_Tm5Pa3H12
_space_group_name_H-M_alt 'P 1'
_space_group_IT_number 1
_space_group_name_Hall 'P 1'
_cell_length_a 11.088
_cell_length_b 11.088
_cell_length_c 11.088
_cell_angle_alpha 109.47
_cell_angle_beta 109.47
_cell_angle_gamma 109.47
loop_
_atom_site_label
_atom_site_type_symbol
_atom_site_fract_x
_atom_site_fract_y
_atom_site_fract_z
_atom_site_occupancy
Pa1 Pa 0.750 0.375 0.125 1
Pa2 Pa 0.875 0.750 0.125 1
Pa3 Pa 0.375 0.750 0.625 1
Pa4 Pa 0.250 0.125 0.375 1
Pa5 Pa 0.875 0.125 0.250 1
Pa6 Pa 0.375 0.625 0.250 1
Pa7 Pa 0.625 0.375 0.750 1
Pa8 Pa 0.125 0.875 0.750 1
Pa9 Pa 0.750 0.875 0.625 1
Pa10 Pa 0.625 0.250 0.375 1
Pa11 Pa 0.125 0.250 0.875 1
Pa12 Pa 0.250 0.625 0.875 1
Tm1 Tm 0.125 0.375 0.250 1
Tm2 Tm 0.000 0.500 0.000 1
Tm3 Tm 0.000 0.000 0.000 1
Tm4 Tm 0.375 0.250 0.125 1
Tm5 Tm 0.500 0.000 0.500 1
Tm6 Tm 0.500 0.500 0.000 1
Tm7 Tm 0.125 0.750 0.375 1
Tm8 Tm 0.750 0.125 0.875 1
Tm9 Tm 0.750 0.625 0.375 1
Tm10 Tm 0.375 0.125 0.750 1
Tm11 Tm 0.625 0.875 0.250 1
Tm12 Tm 0.500 0.500 0.500 1
Tm13 Tm 0.500 0.000 0.000 1
Tm14 Tm 0.000 0.000 0.500 1
Tm15 Tm 0.250 0.375 0.625 1
Tm16 Tm 0.250 0.875 0.125 1
Tm17 Tm 0.000 0.500 0.500 1
Tm18 Tm 0.875 0.250 0.625 1
Tm19 Tm 0.625 0.750 0.875 1
Tm20 Tm 0.875 0.625 0.750 1
H1 H 0.727 0.151 0.071 1
H2 H 0.344 0.571 0.420 1
H3 H 0.929 0.349 0.273 1
H4 H 0.571 0.227 0.151 1
H5 H 0.576 0.727 0.656 1
H6 H 0.929 0.580 0.156 1
H7 H 0.344 0.773 0.424 1
H8 H 0.080 0.924 0.151 1
H9 H 0.580 0.929 0.656 1
H10 H 0.727 0.576 0.156 1
H11 H 0.773 0.429 0.349 1
H12 H 0.844 0.920 0.071 1
H13 H 0.151 0.727 0.571 1
H14 H 0.349 0.420 0.076 1
H15 H 0.076 0.920 0.349 1
H16 H 0.424 0.151 0.580 1
H17 H 0.076 0.156 0.227 1
H18 H 0.429 0.656 0.080 1
H19 H 0.844 0.924 0.273 1
H20 H 0.151 0.424 0.080 1
H21 H 0.349 0.929 0.773 1
H22 H 0.580 0.651 0.424 1
H23 H 0.920 0.844 0.571 1
H24 H 0.773 0.344 0.924 1
H25 H 0.420 0.349 0.576 1
H26 H 0.080 0.156 0.429 1
H27 H 0.227 0.656 0.076 1
H28 H 0.156 0.076 0.727 1
H29 H 0.651 0.071 0.227 1
H30 H 0.849 0.576 0.920 1
H31 H 0.571 0.344 0.920 1
H32 H 0.576 0.849 0.420 1
H33 H 0.924 0.844 0.773 1
H34 H 0.924 0.080 0.651 1
H35 H 0.849 0.273 0.429 1
H36 H 0.156 0.080 0.929 1
H37 H 0.651 0.580 0.924 1
H38 H 0.420 0.071 0.344 1
H39 H 0.273 0.424 0.844 1
H40 H 0.227 0.571 0.651 1
H41 H 0.920 0.076 0.849 1
H42 H 0.656 0.227 0.576 1
H43 H 0.429 0.773 0.849 1
H44 H 0.071 0.420 0.844 1
H45 H 0.424 0.273 0.344 1
H46 H 0.071 0.651 0.727 1
H47 H 0.656 0.429 0.580 1
H48 H 0.273 0.849 0.929 1
```

---

VASP calculation (GGA-PBE) on a relaxed TmPa2H crystal.

Properties
The crystal system is trigonal. The calculation puts the total energy at -6.54 eV per atom. Its density of states at the Fermi level is 7.87 states/eV per cell.

The structure in CIF format:
```
data_TmPa2H
_space_group_name_H-M_alt 'P 1'
_space_group_IT_number 1
_space_group_name_Hall 'P 1'
_cell_length_a 3.194
_cell_length_b 3.194
_cell_length_c 9.550
_cell_angle_alpha 80.38
_cell_angle_beta 80.38
_cell_angle_gamma 60.00
loop_
_atom_site_label
_atom_site_type_symbol
_atom_site_fract_x
_atom_site_fract_y
_atom_site_fract_z
_atom_site_occupancy
H1 H 0.500 0.500 0.500 1
Pa1 Pa 0.111 0.111 0.666 1
Pa2 Pa 0.889 0.889 0.334 1
Tm1 Tm 0.000 0.000 0.000 1
```

---

VASP calculation (GGA-PBE) on a relaxed U2PaH6 crystal.

Properties
The crystal system is monoclinic. The calculation puts the total energy at -5.98 eV per atom. Its density of states at the Fermi level is 13.10 states/eV per cell.

The structure in CIF format:
```
data_U2PaH6
_space_group_name_H-M_alt 'P 1'
_space_group_IT_number 1
_space_group_name_Hall 'P 1'
_cell_length_a 3.393
_cell_length_b 5.906
_cell_length_c 6.149
_cell_angle_alpha 118.70
_cell_angle_beta 106.40
_cell_angle_gamma 90.00
loop_
_atom_site_label
_atom_site_type_symbol
_atom_site_fract_x
_atom_site_fract_y
_atom_site_fract_z
_atom_site_occupancy
U1 U 0.329 0.330 0.659 1
U2 U 0.671 0.670 0.341 1
Pa1 Pa 0.000 0.000 0.000 1
H1 H 0.836 0.088 0.671 1
H2 H 0.164 0.416 0.329 1
H3 H 0.164 0.912 0.329 1
H4 H 0.500 0.256 0.000 1
H5 H 0.836 0.584 0.671 1
H6 H 0.500 0.744 0.000 1
```

---

VASP calculation (GGA-PBE) on a relaxed U5Pa3H12 crystal.

Properties
The crystal system is cubic. The calculation puts the total energy at -6.31 eV per atom. Its density of states at the Fermi level is 150.01 states/eV per cell.

The structure in CIF format:
```
data_U5Pa3H12
_space_group_name_H-M_alt 'P 1'
_space_group_IT_number 1
_space_group_name_Hall 'P 1'
_cell_length_a 10.975
_cell_length_b 10.975
_cell_length_c 10.975
_cell_angle_alpha 109.47
_cell_angle_beta 109.47
_cell_angle_gamma 109.47
loop_
_atom_site_label
_atom_site_type_symbol
_atom_site_fract_x
_atom_site_fract_y
_atom_site_fract_z
_atom_site_occupancy
H1 H 0.730 0.154 0.076 1
H2 H 0.346 0.576 0.422 1
H3 H 0.924 0.346 0.270 1
H4 H 0.576 0.230 0.154 1
H5 H 0.576 0.730 0.654 1
H6 H 0.924 0.578 0.154 1
H7 H 0.346 0.770 0.424 1
H8 H 0.078 0.924 0.154 1
H9 H 0.578 0.924 0.654 1
H10 H 0.730 0.576 0.154 1
H11 H 0.770 0.424 0.346 1
H12 H 0.846 0.922 0.076 1
H13 H 0.154 0.730 0.576 1
H14 H 0.346 0.422 0.076 1
H15 H 0.076 0.922 0.346 1
H16 H 0.424 0.154 0.578 1
H17 H 0.076 0.154 0.230 1
H18 H 0.424 0.654 0.078 1
H19 H 0.846 0.924 0.270 1
H20 H 0.154 0.424 0.078 1
H21 H 0.346 0.924 0.770 1
H22 H 0.578 0.654 0.424 1
H23 H 0.922 0.846 0.576 1
H24 H 0.770 0.346 0.924 1
H25 H 0.422 0.346 0.576 1
H26 H 0.078 0.154 0.424 1
H27 H 0.230 0.654 0.076 1
H28 H 0.154 0.076 0.730 1
H29 H 0.654 0.076 0.230 1
H30 H 0.846 0.576 0.922 1
H31 H 0.576 0.346 0.922 1
H32 H 0.576 0.846 0.422 1
H33 H 0.924 0.846 0.770 1
H34 H 0.924 0.078 0.654 1
H35 H 0.846 0.270 0.424 1
H36 H 0.154 0.078 0.924 1
H37 H 0.654 0.578 0.924 1
H38 H 0.422 0.076 0.346 1
H39 H 0.270 0.424 0.846 1
H40 H 0.230 0.576 0.654 1
H41 H 0.922 0.076 0.846 1
H42 H 0.654 0.230 0.576 1
H43 H 0.424 0.770 0.846 1
H44 H 0.076 0.422 0.846 1
H45 H 0.424 0.270 0.346 1
H46 H 0.076 0.654 0.730 1
H47 H 0.654 0.424 0.578 1
H48 H 0.270 0.846 0.924 1
Pa1 Pa 0.750 0.375 0.125 1
Pa2 Pa 0.875 0.750 0.125 1
Pa3 Pa 0.375 0.750 0.625 1
Pa4 Pa 0.250 0.125 0.375 1
Pa5 Pa 0.875 0.125 0.250 1
Pa6 Pa 0.375 0.625 0.250 1
Pa7 Pa 0.625 0.375 0.750 1
Pa8 Pa 0.125 0.875 0.750 1
Pa9 Pa 0.750 0.875 0.625 1
Pa10 Pa 0.625 0.250 0.375 1
Pa11 Pa 0.125 0.250 0.875 1
Pa12 Pa 0.250 0.625 0.875 1
U1 U 0.125 0.375 0.250 1
U2 U 0.000 0.500 0.000 1
U3 U 0.000 0.000 0.000 1
U4 U 0.375 0.250 0.125 1
U5 U 0.500 0.000 0.500 1
U6 U 0.500 0.500 0.000 1
U7 U 0.125 0.750 0.375 1
U8 U 0.750 0.125 0.875 1
U9 U 0.750 0.625 0.375 1
U10 U 0.375 0.125 0.750 1
U11 U 0.625 0.875 0.250 1
U12 U 0.500 0.500 0.500 1
U13 U 0.500 0.000 0.000 1
U14 U 0.000 0.000 0.500 1
U15 U 0.250 0.375 0.625 1
U16 U 0.250 0.875 0.125 1
U17 U 0.000 0.500 0.500 1
U18 U 0.875 0.250 0.625 1
U19 U 0.625 0.750 0.875 1
U20 U 0.875 0.625 0.750 1
```

---

VASP calculation (GGA-PBE) on a relaxed UPa2H8 crystal.

Properties
The crystal system is orthorhombic. The calculation puts the total energy at -5.46 eV per atom. Its density of states at the Fermi level is 10.05 states/eV per cell.

The structure in CIF format:
```
data_UPa2H8
_space_group_name_H-M_alt 'P 1'
_space_group_IT_number 1
_space_group_name_Hall 'P 1'
_cell_length_a 3.317
_cell_length_b 6.269
_cell_length_c 6.140
_cell_angle_alpha 120.70
_cell_angle_beta 105.67
_cell_angle_gamma 90.00
loop_
_atom_site_label
_atom_site_type_symbol
_atom_site_fract_x
_atom_site_fract_y
_atom_site_fract_z
_atom_site_occupancy
U1 U 0.500 0.000 0.000 1
Pa1 Pa 0.167 0.667 0.335 1
Pa2 Pa 0.833 0.333 0.665 1
H1 H 0.665 0.915 0.330 1
H2 H 0.335 0.584 0.670 1
H3 H 0.166 0.166 0.332 1
H4 H 0.000 0.254 0.000 1
H5 H 0.834 0.834 0.668 1
H6 H 0.665 0.416 0.330 1
H7 H 0.335 0.085 0.670 1
H8 H 0.000 0.746 0.000 1
```

---

VASP calculation (GGA-PBE) on a relaxed Pa2VH crystal.

Properties
The crystal system is tetragonal. The polymorph energy (0 for the lowest one) comes out at 0.0 meV per atom. Its density of states at the Fermi level is 6.34 states/eV per cell.

The structure in CIF format:
```
data_Pa2VH
_space_group_name_H-M_alt 'P 1'
_space_group_IT_number 1
_space_group_name_Hall 'P 1'
_cell_length_a 3.125
_cell_length_b 3.125
_cell_length_c 6.839
_cell_angle_alpha 90.00
_cell_angle_beta 90.00
_cell_angle_gamma 90.00
loop_
_atom_site_label
_atom_site_type_symbol
_atom_site_fract_x
_atom_site_fract_y
_atom_site_fract_z
_atom_site_occupancy
H1 H 0.500 0.500 0.000 1
Pa1 Pa 0.000 0.000 0.784 1
Pa2 Pa 0.000 0.000 0.216 1
V1 V 0.500 0.500 0.500 1
```

---

VASP calculation (GGA-PBE) on a relaxed PaV2H crystal.

Properties
The crystal system is tetragonal. The polymorph energy (0 for the lowest one) comes out at 233.5 meV per atom. Its density of states at the Fermi level is 4.93 states/eV per cell.

The structure in CIF format:
```
data_PaV2H
_space_group_name_H-M_alt 'P 1'
_space_group_IT_number 1
_space_group_name_Hall 'P 1'
_cell_length_a 2.734
_cell_length_b 2.734
_cell_length_c 7.351
_cell_angle_alpha 90.00
_cell_angle_beta 90.00
_cell_angle_gamma 90.00
loop_
_atom_site_label
_atom_site_type_symbol
_atom_site_fract_x
_atom_site_fract_y
_atom_site_fract_z
_atom_site_occupancy
H1 H 0.500 0.500 0.000 1
Pa1 Pa 0.500 0.500 0.500 1
V1 V 0.000 0.000 0.838 1
V2 V 0.000 0.000 0.162 1
```

---

VASP calculation (GGA-PBE) on a relaxed PaV2H crystal.

Properties
The crystal system is trigonal. The polymorph energy (0 for the lowest one) comes out at 0.0 meV per atom. Its density of states at the Fermi level is 7.52 states/eV per cell.

The structure in CIF format:
```
data_PaV2H
_space_group_name_H-M_alt 'P 1'
_space_group_IT_number 1
_space_group_name_Hall 'P 1'
_cell_length_a 3.131
_cell_length_b 3.131
_cell_length_c 6.841
_cell_angle_alpha 76.77
_cell_angle_beta 76.77
_cell_angle_gamma 60.00
loop_
_atom_site_label
_atom_site_type_symbol
_atom_site_fract_x
_atom_site_fract_y
_atom_site_fract_z
_atom_site_occupancy
H1 H 0.500 0.500 0.500 1
Pa1 Pa 0.000 0.000 0.000 1
V1 V 0.209 0.209 0.372 1
V2 V 0.791 0.791 0.628 1
```

---

VASP calculation (GGA-PBE) on a relaxed Pa2VH crystal.

Properties
The crystal system is trigonal. The polymorph energy (0 for the lowest one) comes out at 228.9 meV per atom. Its density of states at the Fermi level is 7.81 states/eV per cell.

The structure in CIF format:
```
data_Pa2VH
_space_group_name_H-M_alt 'P 1'
_space_group_IT_number 1
_space_group_name_Hall 'P 1'
_cell_length_a 3.115
_cell_length_b 3.115
_cell_length_c 9.073
_cell_angle_alpha 80.12
_cell_angle_beta 80.12
_cell_angle_gamma 60.00
loop_
_atom_site_label
_atom_site_type_symbol
_atom_site_fract_x
_atom_site_fract_y
_atom_site_fract_z
_atom_site_occupancy
H1 H 0.000 0.000 0.000 1
Pa1 Pa 0.079 0.079 0.764 1
Pa2 Pa 0.921 0.921 0.236 1
V1 V 0.500 0.500 0.500 1
```

---

VASP calculation (GGA-PBE) on a relaxed PaH6W crystal.

Properties
The crystal system is monoclinic. The calculation puts the total energy at -5.30 eV per atom. Its density of states at the Fermi level is 3.88 states/eV per cell.

The structure in CIF format:
```
data_PaH6W
_space_group_name_H-M_alt 'P 1'
_space_group_IT_number 1
_space_group_name_Hall 'P 1'
_cell_length_a 4.375
_cell_length_b 4.375
_cell_length_c 4.220
_cell_angle_alpha 70.81
_cell_angle_beta 70.89
_cell_angle_gamma 95.73
loop_
_atom_site_label
_atom_site_type_symbol
_atom_site_fract_x
_atom_site_fract_y
_atom_site_fract_z
_atom_site_occupancy
Pa1 Pa 0.500 0.500 0.000 1
H1 H 0.673 0.672 0.388 1
H2 H 0.720 0.126 0.775 1
H3 H 0.125 0.720 0.775 1
H4 H 0.280 0.874 0.225 1
H5 H 0.327 0.328 0.612 1
H6 H 0.875 0.280 0.225 1
W1 W 0.000 0.000 0.000 1
```